Si2CCl2: single point on PBEsol structure, SCAN.

## Properties
Energy = -8.668 eV per atom
Crystal system = tetragonal
Fermi-level density of states = 2.12 states/eV per cell

Cell lengths 5.5156, 5.5156, 4.6305 Å; angles 90.00, 90.00, 90.00 degrees
Closest atoms and distances in Å follow each position.
Element x y z (fractional)
1 Si 0.1650 0.3350 0.0000  2 C 2.06
2 Si 0.3350 0.8350 0.0000  2 C 2.06
3 Si 0.6650 0.1650 0.0000  2 C 2.06
4 Si 0.8350 0.6650 0.0000  2 C 2.06
5 C 0.0000 0.0000 0.0000  4 Si 2.06
6 C 0.5000 0.5000 0.0000  4 Si 2.06
7 Cl 0.1918 0.3082 0.5000  2 Si 2.32
8 Cl 0.3082 0.8082 0.5000  2 Si 2.32
9 Cl 0.6918 0.1918 0.5000  2 Si 2.32
10 Cl 0.8082 0.6918 0.5000  2 Si 2.32

---

BaLa2Se4: single point on PBEsol structure, SCAN.

## Properties
Energy = -31.747 eV per atom
Crystal system = tetragonal
Fermi-level density of states = 0.00 states/eV per cell

Cell lengths 7.9304, 7.9304, 7.9304 Å; angles 109.34, 109.34, 109.74 degrees
Closest atoms and distances in Å follow each position.
Element x y z (fractional)
1 Ba 0.0000 0.0000 0.0000  8 Se 3.19-3.30
2 Ba 0.7500 0.2500 0.5000  8 Se 3.19-3.30
3 La 0.2471 0.1250 0.6221  8 Se 3.01-3.26
4 La 0.3750 0.7529 0.8779  8 Se 3.01-3.26
5 La 0.5029 0.6250 0.3779  8 Se 3.01-3.26
6 La 0.8750 0.4971 0.1221  8 Se 3.01-3.26
7 Se 0.1394 0.3926 0.4127  4 La 3.01-3.26, 2 Ba 3.19-3.30, 1 Se 3.34
8 Se 0.1426 0.3893 0.9127  4 La 3.01-3.26, 2 Ba 3.19-3.30, 1 Se 3.34
9 Se 0.2733 0.8606 0.2533  4 La 3.01-3.26, 2 Ba 3.19-3.30, 1 Se 3.34
10 Se 0.4767 0.2299 0.0873  4 La 3.01-3.26, 2 Ba 3.19-3.30, 1 Se 3.34
11 Se 0.6074 0.0201 0.7467  4 La 3.01-3.26, 2 Ba 3.19-3.30, 1 Se 3.34
12 Se 0.6106 0.5233 0.7533  4 La 3.01-3.26, 2 Ba 3.19-3.30, 1 Se 3.34
13 Se 0.7701 0.8574 0.2467  4 La 3.01-3.26, 2 Ba 3.19-3.30, 1 Se 3.34
14 Se 0.9799 0.7267 0.5873  4 La 3.01-3.26, 2 Ba 3.19-3.30, 1 Se 3.34